# 1
Rb3IrAu (PBE-GGA, optimized geometry); energy above the lowest structure with this stoichiometry = 0 meV/atom; crystal system = cubic; density = 4.3 g/cm3; electronic total energy = -12.1 eV for the cell shown; volume = 247.7 Å³ per cell; formation enthalpy at 0 K = 56.3 kJ/mol of atoms; magnetization = 1.000 μB per formula unit
1.0
6.280 0.000 0.000
0.000 6.280 0.000
0.000 0.000 6.280
Rb Au Ir
3 1 1
direct
0.500 0.000 0.000
0.000 0.000 0.500
0.000 0.500 0.000
0.500 0.500 0.500
0.000 0.000 0.000

# 2
Pm4CSI2 (PBE-GGA, optimized geometry); crystal system = monoclinic; density = 6.8 g/cm3; uncorrected formation energy = -8.9 eV/f.u.; electronic total energy = -44.3 eV for the cell shown; volume = 213.7 Å³ per cell; magnetization = 0.000 μB per formula unit
1.0
-1.550 3.411 1.381
-4.472 -3.661 4.024
6.525 1.203 4.352
S Pm I C
1 4 2 1
direct
0.000 0.000 0.000
0.500 0.256 0.178
0.000 0.702 0.176
0.000 0.298 0.824
0.500 0.744 0.822
0.500 0.000 0.500
0.000 0.500 0.500
0.500 0.500 0.000

# 3
LiZn2GaW (PBE-GGA, optimized geometry); crystal system = tetragonal; density = 5.4 g/cm3; electronic total energy = -16.9 eV for the cell shown; volume = 121.3 Å³ per cell; formation enthalpy at 0 K = 68.1 kJ/mol of atoms; magnetization = 0.000 μB per formula unit
1.0
4.970 0.000 0.000
0.000 4.911 0.000
0.000 0.000 4.970
Zn W Li Ga
2 1 1 1
direct
0.000 0.000 0.500
0.500 0.000 0.000
0.000 0.000 0.000
0.500 0.500 0.500
0.000 0.500 0.000

# 4
Sm2LuPu (PBE-GGA, optimized geometry); energy above the lowest structure with this stoichiometry = 34 meV/atom; crystal system = tetragonal; density = 9.7 g/cm3; electronic total energy = -27.7 eV for the cell shown; volume = 123.8 Å³ per cell; formation enthalpy at 0 K = 13.8 kJ/mol of atoms; magnetization = 6.258 μB per formula unit
1.0
4.954 0.000 0.000
0.000 4.999 0.000
0.000 0.000 4.999
Sm Lu Pu
2 1 1
direct
0.000 0.500 0.000
0.000 0.000 0.500
0.500 0.500 0.500
0.500 0.000 0.000

# 5
CrCuRu2 (PBE-GGA, optimized geometry); crystal system = monoclinic; density = 10.0 g/cm3; electronic total energy = -31.3 eV for the cell shown; volume = 52.8 Å³ per cell; formation enthalpy at 0 K = 22.6 kJ/mol of atoms; magnetization = 1.400 μB per formula unit
1.0
-3.867 -2.524 0.529
-2.128 -4.022 -0.949
1.033 -2.364 3.610
Cu Ru Cr
1 2 1
direct
0.249 0.249 0.255
0.002 0.002 0.997
0.752 0.752 0.751
0.498 0.498 0.497

# 6
CdSiS2Cl (PBE-GGA, optimized geometry); energy above the lowest structure with this stoichiometry = 643 meV/atom; crystal system = tetragonal; density = 3.2 g/cm3; uncorrected formation energy = 2.7 eV/f.u.; electronic total energy = -13.7 eV for the cell shown; volume = 124.6 Å³ per cell; magnetization = 0.000 μB per formula unit
1.0
-1.391 -0.992 4.669
-4.608 -0.991 -1.584
1.263 -4.833 -0.650
S Cl Cd Si
2 1 1 1
direct
0.500 0.000 0.000
0.000 0.500 0.000
0.000 0.000 0.500
0.000 0.000 0.000
0.500 0.500 0.500

# 7
La2Ni3Ge4Ru (PBE-GGA, optimized geometry); crystal system = tetragonal; density = 7.9 g/cm3; electronic total energy = -61.9 eV for the cell shown; volume = 176.7 Å³ per cell; formation enthalpy at 0 K = -66.9 kJ/mol of atoms; magnetization = 0.000 μB per formula unit
1.0
-0.522 3.747 1.812
1.523 -1.528 3.598
9.274 2.648 -2.801
Ge Ru Ni La
4 1 3 2
direct
0.000 0.500 0.368
0.500 0.500 0.000
0.500 0.000 0.632
0.000 0.000 0.000
0.500 0.500 0.500
0.000 0.500 0.124
0.000 0.000 0.500
0.500 0.000 0.876
0.000 0.500 0.758
0.500 0.000 0.242

# 8
Li2CoHPd (PBE-GGA, optimized geometry); crystal system = tetragonal; density = 5.7 g/cm3; electronic total energy = -20.0 eV for the cell shown; volume = 52.5 Å³ per cell; magnetization = 1.492 μB per formula unit
1.0
3.855 0.000 0.000
0.000 3.855 0.000
0.000 0.000 3.532
H Li Pd Co
1 2 1 1
direct
0.000 0.000 0.000
0.500 0.000 0.000
0.000 0.500 0.000
0.500 0.500 0.500
0.000 0.000 0.500

# 9
YSc2AlFe (PBE-GGA, optimized geometry); crystal system = tetragonal; density = 4.0 g/cm3; electronic total energy = -31.9 eV for the cell shown; volume = 108.8 Å³ per cell; formation enthalpy at 0 K = -10.9 kJ/mol of atoms; magnetization = 0.000 μB per formula unit
1.0
4.759 0.000 0.000
0.000 4.759 0.000
0.000 0.000 4.804
Sc Y Al Fe
2 1 1 1
direct
0.500 0.000 0.000
0.000 0.500 0.000
0.500 0.500 0.500
0.000 0.000 0.500
0.000 0.000 0.000

# 10
La2TeCl (PBE-GGA, optimized geometry); energy above the lowest structure with this stoichiometry = 911 meV/atom; crystal system = cubic; density = 6.1 g/cm3; uncorrected formation energy = -2.6 eV/f.u.; electronic total energy = -17.4 eV for the cell shown; volume = 119.7 Å³ per cell; magnetization = 2.475 μB per formula unit
1.0
-1.120 -2.929 4.558
4.130 -2.095 3.026
1.121 2.111 4.989
Cl La Te
1 2 1
direct
0.500 0.500 0.500
0.000 0.000 0.000
0.250 0.250 0.250
0.750 0.750 0.750

# 11
Ti2Ni4Pd (PBE-GGA, optimized geometry); energy above the lowest structure with this stoichiometry = 0 meV/atom; crystal system = tetragonal; density = 7.7 g/cm3; electronic total energy = -46.0 eV for the cell shown; volume = 93.9 Å³ per cell; formation enthalpy at 0 K = -25.5 kJ/mol of atoms; magnetization = 0.000 μB per formula unit
1.0
-3.136 -1.137 -0.215
0.490 -0.745 -3.221
3.959 -6.740 3.895
Ti Ni Pd
2 4 1
direct
0.401 0.401 0.802
0.599 0.599 0.198
0.250 0.750 0.500
0.852 0.852 0.703
0.148 0.148 0.297
0.750 0.250 0.500
0.000 0.000 0.000

# 12
Tc2SnO (PBE-GGA, optimized geometry); energy above the lowest structure with this stoichiometry = 679 meV/atom; crystal system = cubic; density = 9.3 g/cm3; uncorrected formation energy = 2.6 eV/f.u.; electronic total energy = -27.1 eV for the cell shown; volume = 59.3 Å³ per cell; magnetization = 0.000 μB per formula unit
1.0
0.000 3.095 3.095
3.095 0.000 3.095
3.095 3.095 0.000
O Tc Sn
1 2 1
direct
0.000 0.000 0.000
0.750 0.750 0.750
0.250 0.250 0.250
0.500 0.500 0.500